# TaCoAs

TaCoAs after structural relaxation (PBE-GGA, OQMD via LeMat-Bulk). Values from VASP.

```
&SYSTEM
  ibrav = 0, nat = 9, ntyp = 3
/
ATOMIC_SPECIES
As 74.92 As.upf
Co 58.93 Co.upf
Ta 180.95 Ta.upf
CELL_PARAMETERS angstrom
-3.602 3.387 4.104
-2.178 -1.243 -5.916
-1.522 -3.082 1.208
ATOMIC_POSITIONS angstrom
As -1.020 0.959 1.163
As -0.617 -0.352 -1.676
As -4.142 1.537 -1.299
Co -3.127 1.844 0.764
Co -2.653 0.301 -2.576
Co -0.761 -1.541 0.604
Ta -2.975 0.541 3.127
Ta -2.988 -0.715 -0.094
Ta -2.100 -2.305 -3.033
```

## Properties
DFT total energy: -72.9 eV/cell
space group: P-62m (189)

# GdW

GdW after structural relaxation (PBE-GGA, OQMD via LeMat-Bulk). Values from VASP.

```
&SYSTEM
  ibrav = 0, nat = 2, ntyp = 2
/
ATOMIC_SPECIES
Gd 157.25 Gd.upf
W 183.84 W.upf
CELL_PARAMETERS angstrom
3.004 0.000 0.000
-1.502 2.601 0.000
0.000 0.000 5.402
ATOMIC_POSITIONS angstrom
Gd 1.502 0.867 4.051
W 0.000 1.734 1.350
```

## Properties
ΔE_f: 889 meV per atom
DFT total energy: -15.8 eV/cell
distance to the lowest polymorph of the same formula: 0.100 eV per atom
space group: P-6m2 (187)

# PaO

PaO after structural relaxation (PBE-GGA, OQMD via LeMat-Bulk). Values from VASP.

```
&SYSTEM
  ibrav = 0, nat = 2, ntyp = 2
/
ATOMIC_SPECIES
O 16.00 O.upf
Pa 231.04 Pa.upf
CELL_PARAMETERS angstrom
-1.055 -2.514 2.654
-3.667 -0.322 0.965
-1.963 -3.104 -0.994
ATOMIC_POSITIONS angstrom
O 0.000 0.000 0.000
Pa -1.671 -1.485 0.656
```

## Properties
DFT total energy: -16.9 eV/cell
distance to the lowest polymorph of the same formula: 0.773 eV per atom
space group: F-43m (216)

Computed values of ρ (unit: g/cm³) for the preceding records, in sequence: 12.039 13.419 10.528.
Computed values of spin magnetization (unit: μB per formula unit) for the preceding records, in sequence: 0.4 0.0 0.0.